(P)
## ScTlBr (PBE)

Data for ScTlBr after structural relaxation.

Computed properties:
Fermi-level density of states ... 9.81 states/eV per cell

a b c (Å): 6.8194 3.4583 15.0290
angles (deg): 90.00 104.66 90.00
With the nearest neighbours (Å) after each atom.
Atoms (fractional coordinates):
Sc  0.8259  0.0000  0.1323  3 Br 2.75-2.80
Sc  0.1741  0.0000  0.8677  3 Br 2.75-2.80
Sc  0.8259  0.5000  0.6323  3 Br 2.75-2.80
Sc  0.1741  0.5000  0.3677  3 Br 2.75-2.80
Tl  0.0000  0.5000  0.0000  4 Sc 3.09, 4 Tl 3.41-3.46
Tl  0.0000  0.0000  0.5000  4 Sc 3.09, 4 Tl 3.41-3.46
Tl  0.5000  0.0000  0.5000  4 Sc 3.11, 4 Tl 3.41-3.46
Tl  0.5000  0.5000  0.0000  4 Sc 3.11, 4 Tl 3.41-3.46
Br  0.7688  0.0000  0.7657  3 Sc 2.75-2.80
Br  0.2312  0.0000  0.2343  3 Sc 2.75-2.80
Br  0.7688  0.5000  0.2657  3 Sc 2.75-2.80
Br  0.2312  0.5000  0.7343  3 Sc 2.75-2.80

---

(Q)
## ScTlBr (PBE)

Data for ScTlBr after structural relaxation.

Computed properties:
Fermi-level density of states ... 3.08 states/eV per cell

a b c (Å): 7.9859 7.9859 7.9859
angles (deg): 155.42 155.42 35.04
With the nearest neighbours (Å) after each atom.
Atoms (fractional coordinates):
Br  0.9485  0.9485  0.0000  4 Sc 2.88
Sc  0.3438  0.3438  0.0000  4 Br 2.88, 4 Tl 3.17
Tl  0.7077  0.7077  0.0000  4 Sc 3.17, 4 Tl 3.40

---

(R)
## ScTlBr (PBE)

Data for ScTlBr after structural relaxation.

Computed properties:
Fermi-level density of states ... 2.72 states/eV per cell

a b c (Å): 3.5492 3.5497 7.8242
angles (deg): 89.03 89.68 60.00
With the nearest neighbours (Å) after each atom.
Atoms (fractional coordinates):
Sc  0.4644  0.5214  0.0944  3 Br 2.73
Tl  0.1286  0.2017  0.7925  3 Sc 3.12-3.13
Br  0.7997  0.8452  0.3244  3 Sc 2.73

---

Relative energies in meV/atom: (P) 0; (Q) 154; (R) 48